(1)
VASP calculation (GGA-PBE) on a relaxed structure of PuAg2Pd.

abc: 3.0965 3.0965 8.1872
angles: 90.00 90.00 90.00
Last column: nearest neighbours and their distance in Å.
Sites, in units of the cell vectors:
Pd: 0.5000 0.5000 0.0000  8 Ag 2.81, 4 Pd 3.10
Ag: 0.0000 0.0000 0.7848  4 Pd 2.81, 4 Ag 3.10
Ag: 0.0000 0.0000 0.2152  4 Pd 2.81, 4 Ag 3.10
Pu: 0.5000 0.5000 0.5000  4 Pu 3.10, 8 Ag 3.20

## Properties
ΔE to the lowest computed polymorph: 0.158 eV per atom
energy of formation from the pure elements: 1.3 kJ per mole of atoms
D(E_F): 8.47 states/eV/cell
total moment: 1.477 μB per atom



(2)
VASP calculation (GGA-PBE) on a relaxed structure of PuAgPd3.

abc: 5.3213 5.2049 7.6612
angles: 90.00 110.32 90.00
Last column: nearest neighbours and their distance in Å.
Sites, in units of the cell vectors:
Pu: 0.1863 0.2500 0.3725  8 Pd 2.82-3.01
Pu: 0.8137 0.7500 0.6275  8 Pd 2.82-3.01
Ag: 0.5464 0.2500 0.0929  2 Ag 2.92, 10 Pd 2.98-3.21
Ag: 0.4536 0.7500 0.9071  2 Ag 2.92, 10 Pd 2.98-3.21
Pd: 0.1147 0.2500 0.7200  4 Pd 2.61-2.75, 1 Pu 2.82
Pd: 0.6052 0.2500 0.7200  4 Pd 2.61-2.75, 1 Pu 2.82
Pd: 0.3948 0.7500 0.2800  4 Pd 2.61-2.75, 1 Pu 2.82
Pd: 0.8853 0.7500 0.2800  4 Pd 2.61-2.75, 1 Pu 2.82
Pd: 0.0000 0.0000 0.0000  6 Pd 2.60-2.75
Pd: 0.0000 0.5000 0.0000  6 Pd 2.60-2.75

## Properties
energy of formation from the pure elements: -17.7 kJ per mole of atoms
D(E_F): 28.56 states/eV/cell
total moment: 1.015 μB per atom



(3)
VASP calculation (GGA-PBE) on a relaxed structure of Pu4AgPd3.

abc: 3.0900 5.3589 10.6953
angles: 90.00 90.00 90.00
Last column: nearest neighbours and their distance in Å.
Sites, in units of the cell vectors:
Pd: 0.5000 0.0000 0.2499  8 Pu 3.09, 2 Pd 3.09
Pd: 0.5000 0.5000 0.5000  8 Pu 3.00-3.09, 2 Pd 3.09
Pd: 0.5000 0.0000 0.7501  8 Pu 3.09, 2 Pd 3.09
Ag: 0.5000 0.5000 0.0000  2 Ag 3.09, 8 Pu 3.09-3.18
Pu: 0.0000 0.0000 0.5000  8 Pd 3.09, 2 Pu 3.09
Pu: 0.0000 0.5000 0.7400  6 Pd 3.00-3.09, 2 Pu 3.09, 2 Ag 3.18
Pu: 0.0000 0.0000 0.0000  4 Pd 3.09, 2 Pu 3.09, 4 Ag 3.09
Pu: 0.0000 0.5000 0.2600  6 Pd 3.00-3.09, 2 Pu 3.09, 2 Ag 3.18

## Properties
energy of formation from the pure elements: -25.5 kJ per mole of atoms
D(E_F): 33.69 states/eV/cell
total moment: 2.915 μB per atom



(4)
VASP calculation (GGA-PBE) on a relaxed structure of PuAgPd.

abc: 7.8050 4.0493 4.0493
angles: 90.00 90.00 90.00
Last column: nearest neighbours and their distance in Å.
Sites, in units of the cell vectors:
Pu: 0.8435 0.0000 0.5000  5 Pd 2.92-3.01
Pu: 0.1565 0.5000 0.0000  5 Pd 2.92-3.01
Ag: 0.5000 0.0000 0.0000  4 Ag 2.86, 4 Pd 2.93
Ag: 0.5000 0.5000 0.5000  4 Ag 2.86, 4 Pd 2.93
Pd: 0.2292 0.0000 0.5000  5 Pu 2.92-3.01, 4 Ag 2.93
Pd: 0.7708 0.5000 0.0000  5 Pu 2.92-3.01, 4 Ag 2.93

## Properties
ΔE to the lowest computed polymorph: 0.000 eV per atom
energy of formation from the pure elements: -24.1 kJ per mole of atoms
D(E_F): 24.92 states/eV/cell
total moment: 1.813 μB per atom